# Mg2TlCdIn

A relaxed Mg2TlCdIn crystal (PBE, Alexandria).

Calculated values
SG = P2_1/m, No. 11
DFT total energy = -9.3 eV per formula unit
DFT formation energy = -0.0265 eV per atom

Unit cell a=4.483 b=7.363 c=7.322 alpha=91.38 beta=90.00 gamma=90.00
Fractional positions:
1 Mg 0.250 0.351 0.047
2 Cd 0.250 0.743 0.257
3 In 0.250 0.544 0.657
4 Mg 0.750 0.843 0.547
5 Cd 0.750 0.257 0.743
6 Mg 0.750 0.649 0.953
7 Mg 0.250 0.157 0.453
8 In 0.750 0.456 0.343
9 Tl 0.750 0.054 0.163
10 Tl 0.250 0.946 0.837

# Mg2Tl2Cd2In5

A relaxed Mg2Tl2Cd2In5 crystal (PBE, Alexandria).

Calculated values
SG = I4/mmm, No. 139
DFT total energy = -21.4 eV per formula unit
DFT formation energy = 0.1816 eV per atom

Unit cell a=4.431 b=4.431 c=18.451 alpha=96.90 beta=96.90 gamma=90.00
Fractional positions:
1 In 0.365 0.865 0.729
2 In 0.635 0.135 0.271
3 Mg 0.078 0.078 0.156
4 In 0.865 0.365 0.729
5 Cd 0.698 0.698 0.395
6 Tl 0.216 0.216 0.431
7 In 0.135 0.635 0.271
8 Mg 0.922 0.922 0.844
9 Tl 0.784 0.784 0.569
10 In 0.000 0.000 0.000
11 Cd 0.302 0.302 0.605

# MgTlCdIn

A relaxed MgTlCdIn crystal (PBE, Alexandria).

Calculated values
Excess energy over the best structure of this formula in the dataset = 0 meV/atom
SG = P4mm, No. 99
DFT total energy = -7.7 eV per formula unit
DFT formation energy = -0.0180 eV per atom

Unit cell a=3.315 b=3.315 c=9.310 alpha=90.00 beta=90.00 gamma=90.00
Fractional positions:
1 In 0.500 0.500 0.791
2 Mg 0.000 0.000 0.564
3 Tl 0.000 0.000 0.081
4 Cd 0.500 0.500 0.349

# MgTlCdIn

A relaxed MgTlCdIn crystal (PBE, Alexandria).

Calculated values
Excess energy over the best structure of this formula in the dataset = 50 meV/atom
SG = F-43m, No. 216
DFT total energy = -7.5 eV per formula unit
DFT formation energy = 0.0319 eV per atom

Unit cell a=5.240 b=5.240 c=5.240 alpha=60.00 beta=60.00 gamma=60.00
Fractional positions:
1 Cd 0.750 0.750 0.750
2 Mg 0.250 0.250 0.250
3 Tl 0.000 0.000 0.000
4 In 0.500 0.500 0.500

# MgTl2CdIn2

A relaxed MgTl2CdIn2 crystal (PBE, Alexandria).

Calculated values
SG = Pmc2_1, No. 26
DFT total energy = -12.7 eV per formula unit
DFT formation energy = 0.0021 eV per atom

Unit cell a=4.387 b=6.891 c=10.580 alpha=90.00 beta=90.00 gamma=90.00
Fractional positions:
1 Tl 0.000 0.387 0.190
2 In 0.500 0.125 0.352
3 Cd 0.500 0.640 0.355
4 In 0.000 0.879 0.196
5 Tl 0.500 0.632 0.998
6 In 0.000 0.379 0.804
7 In 0.500 0.625 0.648
8 Tl 0.000 0.887 0.810
9 Cd 0.500 0.140 0.645
10 Tl 0.500 0.132 0.002
11 Mg 0.000 0.883 0.503
12 Mg 0.000 0.383 0.497

# Mg5Tl2Cd2In

A relaxed Mg5Tl2Cd2In crystal (PBE, Alexandria).

Calculated values
SG = P4/mbm, No. 127
DFT total energy = -17.2 eV per formula unit
DFT formation energy = 0.0120 eV per atom

Unit cell a=3.688 b=11.660 c=11.660 alpha=90.00 beta=90.00 gamma=90.00
Fractional positions:
1 Mg 0.500 0.206 0.017
2 Mg 0.500 0.294 0.517
3 Mg 0.500 0.517 0.706
4 Tl 0.000 0.672 0.172
5 In 0.000 0.500 0.500
6 Mg 0.500 0.000 0.500
7 Cd 0.000 0.140 0.640
8 Cd 0.000 0.860 0.360
9 Mg 0.500 0.500 0.000
10 Mg 0.500 0.017 0.794
11 Mg 0.500 0.483 0.294
12 Tl 0.000 0.328 0.828
13 Mg 0.500 0.983 0.206
14 Cd 0.000 0.360 0.140
15 In 0.000 0.000 0.000
16 Cd 0.000 0.640 0.860
17 Tl 0.000 0.828 0.672
18 Mg 0.500 0.706 0.483
19 Mg 0.500 0.794 0.983
20 Tl 0.000 0.172 0.328

# MgTlCdIn3

A relaxed MgTlCdIn3 crystal (PBE, Alexandria).

Calculated values
SG = Cmcm, No. 63
DFT total energy = -13.0 eV per formula unit
DFT formation energy = 0.0085 eV per atom

Unit cell a=3.494 b=8.510 c=10.741 alpha=90.00 beta=90.00 gamma=101.85
Fractional positions:
1 Mg 0.000 0.000 0.500
2 In 0.662 0.324 0.998
3 Tl 0.783 0.566 0.750
4 In 0.338 0.676 0.498
5 Cd 0.549 0.097 0.250
6 In 0.108 0.216 0.750
7 In 0.338 0.676 0.002
8 Tl 0.217 0.434 0.250
9 Mg 0.000 0.000 0.000
10 Cd 0.451 0.903 0.750
11 In 0.662 0.324 0.502
12 In 0.892 0.784 0.250

# Mg2ZrCdIn4

A relaxed Mg2ZrCdIn4 crystal (PBE, Alexandria).

Calculated values
SG = I4/mmm, No. 139
DFT total energy = -24.4 eV per formula unit
DFT formation energy = -0.1028 eV per atom

Unit cell a=7.183 b=6.223 c=6.223 alpha=70.54 beta=54.75 gamma=54.75
Fractional positions:
1 In 0.000 0.000 0.500
2 Cd 0.000 0.000 0.000
3 In 0.500 0.500 0.000
4 Mg 0.500 0.500 0.500
5 Zr 0.500 0.000 0.000
6 In 0.000 0.500 0.000
7 In 0.500 0.000 0.500
8 Mg 0.000 0.500 0.500

# MnCdIn4

A relaxed MnCdIn4 crystal (PBE, Alexandria).

Calculated values
SG = F-43m, No. 216
DFT total energy = -18.5 eV per formula unit
DFT formation energy = 0.4247 eV per atom

Unit cell a=6.071 b=6.071 c=6.071 alpha=60.00 beta=60.00 gamma=60.00
Fractional positions:
1 Cd 0.000 0.000 0.000
2 Mn 0.750 0.750 0.750
3 In 0.375 0.375 0.875
4 In 0.875 0.375 0.375
5 In 0.375 0.875 0.375
6 In 0.375 0.375 0.375

# MnCdIn3

A relaxed MnCdIn3 crystal (PBE, Alexandria).

Calculated values
Excess energy over the best structure of this formula in the dataset = 487 meV/atom
SG = Pm-3m, No. 221
DFT total energy = -14.4 eV per formula unit
DFT formation energy = 0.7841 eV per atom

Unit cell a=5.468 b=5.468 c=5.468 alpha=90.00 beta=90.00 gamma=90.00
Fractional positions:
1 In 0.000 0.500 0.000
2 In 0.500 0.000 0.000
3 Cd 0.000 0.000 0.000
4 Mn 0.500 0.500 0.500
5 In 0.000 0.000 0.500

# MnCdIn3

A relaxed MnCdIn3 crystal (PBE, Alexandria).

Calculated values
Excess energy over the best structure of this formula in the dataset = 0 meV/atom
SG = Pm-3m, No. 221
DFT total energy = -16.8 eV per formula unit
DFT formation energy = 0.2973 eV per atom

Unit cell a=5.146 b=5.146 c=5.146 alpha=90.00 beta=90.00 gamma=90.00
Fractional positions:
1 Mn 0.000 0.000 0.000
2 Cd 0.500 0.500 0.500
3 In 0.000 0.000 0.500
4 In 0.000 0.500 0.000
5 In 0.500 0.000 0.000

# MnCdInNi2

A relaxed MnCdInNi2 crystal (PBE, Alexandria).

Calculated values
SG = P4/mmm, No. 123
DFT total energy = -18.2 eV per formula unit
DFT formation energy = 1.2386 eV per atom

Unit cell a=4.738 b=5.101 c=4.738 alpha=90.00 beta=90.00 gamma=90.00
Fractional positions:
1 Ni 0.500 0.000 0.000
2 In 0.000 0.500 0.000
3 Mn 0.500 0.500 0.500
4 Cd 0.000 0.000 0.000
5 Ni 0.000 0.000 0.500